DFT (GGA-PBE) results for a relaxed Y2Er5Sc crystal.

Lattice parameters (Å, degrees): 4.9278 6.9877 13.9811 90.00 90.00 90.00
Closest atoms and distances in Å follow each position.
Element x y z (fractional)
Y  0.5000  0.2476  0.6236  10 Er 3.46-3.53, 2 Sc 3.47
Y  0.5000  0.7524  0.3764  10 Er 3.46-3.53, 2 Sc 3.47
Y  0.5000  0.2524  0.1236  10 Er 3.46-3.53, 2 Sc 3.47
Y  0.5000  0.7476  0.8764  10 Er 3.46-3.53, 2 Sc 3.47
Er  0.0000  0.0000  0.0000  6 Er 3.48-3.52, 4 Y 3.49, 2 Sc 3.49
Er  0.0000  0.5000  0.5000  6 Er 3.48-3.52, 4 Y 3.49, 2 Sc 3.49
Er  0.0000  0.4987  0.7520  1 Sc 3.47, 7 Er 3.48-3.52, 4 Y 3.48-3.52
Er  0.0000  0.5013  0.2480  1 Sc 3.47, 7 Er 3.48-3.52, 4 Y 3.48-3.52
Er  0.0000  0.0013  0.2520  1 Sc 3.47, 7 Er 3.48-3.52, 4 Y 3.48-3.52
Er  0.0000  0.9987  0.7480  1 Sc 3.47, 7 Er 3.48-3.52, 4 Y 3.48-3.52
Er  0.5000  0.2504  0.8761  4 Y 3.46-3.53, 6 Er 3.48-3.52, 2 Sc 3.48
Er  0.5000  0.7496  0.1239  4 Y 3.46-3.53, 6 Er 3.48-3.52, 2 Sc 3.48
Er  0.5000  0.2496  0.3761  4 Y 3.46-3.53, 6 Er 3.48-3.52, 2 Sc 3.48
Er  0.5000  0.7504  0.6239  4 Y 3.46-3.53, 6 Er 3.48-3.52, 2 Sc 3.48
Sc  0.0000  0.0000  0.5000  8 Er 3.47-3.49, 4 Y 3.47
Sc  0.0000  0.5000  0.0000  8 Er 3.47-3.49, 4 Y 3.47

Computed properties:
The energy of formation comes out at 0.036 eV per atom. Its energy above the most stable polymorph in this dataset is 23 meV per atom. The calculation puts the total energy at -83.58 eV per cell. Its space group is No. 55.



DFT (GGA-PBE) results for a relaxed FeCo crystal.

Lattice parameters (Å, degrees): 10.0789 10.0789 2.3687 90.00 90.00 120.00
Closest atoms and distances in Å follow each position.
Element x y z (fractional)
Fe  0.6328  0.0415  0.2500  4 Fe 2.37-2.65, 4 Co 2.38-2.47
Fe  0.5913  0.6328  0.7500  4 Fe 2.37-2.65, 4 Co 2.38-2.47
Fe  0.9585  0.5913  0.2500  4 Fe 2.37-2.65, 4 Co 2.38-2.47
Fe  0.3672  0.9585  0.7500  4 Fe 2.37-2.65, 4 Co 2.38-2.47
Fe  0.4087  0.3672  0.2500  4 Fe 2.37-2.65, 4 Co 2.38-2.47
Fe  0.0415  0.4087  0.7500  4 Fe 2.37-2.65, 4 Co 2.38-2.47
Co  0.7948  0.3119  0.2500  4 Co 2.37-2.45, 4 Fe 2.38-2.47
Co  0.4829  0.7948  0.7500  4 Co 2.37-2.45, 4 Fe 2.38-2.47
Co  0.6881  0.4829  0.2500  4 Co 2.37-2.45, 4 Fe 2.38-2.47
Co  0.2052  0.6881  0.7500  4 Co 2.37-2.45, 4 Fe 2.38-2.47
Co  0.5171  0.2052  0.2500  4 Co 2.37-2.45, 4 Fe 2.38-2.47
Co  0.3119  0.5171  0.7500  4 Co 2.37-2.45, 4 Fe 2.38-2.47

Computed properties:
The energy of formation comes out at 0.704 eV per atom. The calculation puts the total energy at -84.96 eV per cell. Its space group is No. 176.



DFT (GGA-PBE) results for a relaxed MoP3I crystal.

Lattice parameters (Å, degrees): 4.7596 4.7596 4.7596 90.00 90.00 90.00
Closest atoms and distances in Å follow each position.
Element x y z (fractional)
I  0.5000  0.5000  0.5000  12 P 3.37
P  0.0000  0.5000  0.0000  2 Mo 2.38
P  0.0000  0.0000  0.5000  2 Mo 2.38
P  0.5000  0.0000  0.0000  2 Mo 2.38
Mo  0.0000  0.0000  0.0000  6 P 2.38

Computed properties:
Its energy above the most stable polymorph in this dataset is 0 meV per atom. The calculation puts the total energy at -26.31 eV per cell. Its space group is No. 221. As for the raw formation energy: 44.3 kJ per mole of atoms.